Material: MoPdSe2
Method: DFT, PBE-GGA
State: optimized geometry

Structure (POSCAR):
```
MoPdSe2
1.0
0.0000 3.2326 3.2326
3.2326 0.0000 3.2326
3.2326 3.2326 0.0000
Se Pd Mo
2 1 1
direct
0.7500 0.7500 0.7500
0.2500 0.2500 0.2500
0.5000 0.5000 0.5000
0.0000 0.0000 0.0000
```

Computed properties:
D(E_F), states/eV per cell: 1.58
Formation energy from raw total energies, meV per atom: 93.8
Space-group type: No. 225
M_tot, μB per cell: 1.98
Uncorrected energy, Ry/atom: -0.4156
Crystal system: cubic

=====

Material: Mo2PdSe
Method: DFT, PBE-GGA
State: optimized geometry

Structure (POSCAR):
```
Mo2PdSe
1.0
-3.0190 -3.4525 3.4764
2.8585 -4.5576 -2.0439
3.6916 -3.3846 4.6080
Mo Pd Se
4 2 2
direct
0.8750 0.8754 0.7500
0.3750 0.3746 0.7500
0.1246 0.6250 0.2500
0.6254 0.1250 0.2500
0.7500 0.2500 0.5000
0.0000 0.0000 0.0000
0.5000 0.5000 0.0000
0.2500 0.7500 0.5000
```

Computed properties:
D(E_F), states/eV per cell: 11.37
Formation energy from raw total energies, meV per atom: 971.6
Space-group type: No. 122
M_tot, μB per cell: 0.00
Uncorrected energy, Ry/atom: -0.4861
Crystal system: tetragonal

=====

Material: MoPdSe3
Method: DFT, PBE-GGA
State: optimized geometry

Structure (POSCAR):
```
MoPdSe3
1.0
-3.8649 0.7038 -1.1644
-0.4173 -4.8296 -1.5341
-1.6883 -2.4149 4.1441
Mo Se Pd
1 3 1
direct
0.5120 0.2682 0.7339
0.5120 0.1227 0.2563
0.5120 0.7458 0.8794
0.0120 0.4753 0.5267
0.0120 0.8883 0.1138
```

Computed properties:
D(E_F), states/eV per cell: 4.01
Formation energy from raw total energies, meV per atom: -189.2
Space-group type: No. 38
M_tot, μB per cell: 0.00
Uncorrected energy, Ry/atom: -0.4031
Crystal system: orthorhombic

=====

Material: MoPd2Se4
Method: DFT, PBE-GGA
State: optimized geometry

Structure (POSCAR):
```
MoPd2Se4
1.0
7.5252 0.2726 -0.1319
-0.2708 7.5256 0.1225
-3.5376 -3.9888 5.3306
Se Mo Pd
8 2 4
direct
0.8614 0.6205 0.2407
0.8708 0.1299 0.2597
0.3792 0.6201 0.2403
0.3886 0.1295 0.2593
0.8700 0.1291 0.7403
0.8704 0.6114 0.7407
0.3796 0.1386 0.7593
0.3800 0.6209 0.7597
0.2503 0.7498 0.5000
0.9997 0.0003 0.0000
0.6250 0.3750 0.2500
0.6250 0.8750 0.2500
0.6250 0.3750 0.7500
0.1250 0.3750 0.7500
```

Computed properties:
D(E_F), states/eV per cell: 9.73
Formation energy from raw total energies, meV per atom: -221.2
Space-group type: No. 74
M_tot, μB per cell: 0.00
Uncorrected energy, Ry/atom: -0.3854
Crystal system: orthorhombic

=====

Material: MoPdSe6
Method: DFT, PBE-GGA
State: optimized geometry

Structure (POSCAR):
```
MoPdSe6
1.0
6.1994 0.0622 0.2419
3.1292 5.3396 0.4380
3.2631 2.0758 5.7146
Se Mo Pd
6 1 1
direct
0.6875 0.0610 0.8205
0.4224 0.7976 0.6885
0.5776 0.2024 0.3115
0.9550 0.5259 0.3174
0.3125 0.9390 0.1795
0.0450 0.4741 0.6826
0.5000 0.5000 0.5000
0.0000 0.0000 0.0000
```

Computed properties:
D(E_F), states/eV per cell: 4.72
Formation energy from raw total energies, meV per atom: -141.5
Space-group type: No. 2
M_tot, μB per cell: 0.00
Uncorrected energy, Ry/atom: -0.3497
Crystal system: triclinic

=====

Material: MoPd3Se6
Method: DFT, PBE-GGA
State: optimized geometry

Structure (POSCAR):
```
MoPd3Se6
1.0
-4.6465 -5.6292 -2.1265
1.2153 -3.4299 6.6752
-5.8697 3.8240 2.9536
Pd Se Mo
6 12 2
direct
0.5518 0.0820 0.2462
0.2462 0.5518 0.0820
0.4482 0.9180 0.7538
0.7538 0.4482 0.9180
0.0820 0.2462 0.5518
0.9180 0.7538 0.4482
0.6856 0.0869 0.9282
0.0869 0.9282 0.6856
0.5947 0.8198 0.4652
0.0718 0.3144 0.9131
0.4652 0.5947 0.8198
0.9131 0.0718 0.3144
0.5348 0.4053 0.1802
0.3144 0.9131 0.0718
0.1802 0.5348 0.4053
0.8198 0.4652 0.5947
0.4053 0.1802 0.5348
0.9282 0.6856 0.0869
0.0000 0.0000 0.0000
0.5000 0.5000 0.5000
```

Computed properties:
D(E_F), states/eV per cell: 11.30
Formation energy from raw total energies, meV per atom: -179.1
Space-group type: No. 148
M_tot, μB per cell: 0.00
Uncorrected energy, Ry/atom: -0.3609
Crystal system: trigonal

=====

Material: MoPd2Se
Method: DFT, PBE-GGA
State: optimized geometry

Structure (POSCAR):
```
MoPd2Se
1.0
-6.5554 2.4427 -1.6914
-2.7796 -3.5947 5.5815
-4.2876 1.5002 3.4714
Pd Se Mo
4 2 2
direct
0.1411 0.6250 0.2500
0.8750 0.8589 0.7500
0.3750 0.3911 0.7500
0.6089 0.1250 0.2500
0.2500 0.7500 0.5000
0.5000 0.5000 0.0000
0.7500 0.2500 0.5000
0.0000 0.0000 0.0000
```

Computed properties:
D(E_F), states/eV per cell: 4.49
Formation energy from raw total energies, meV per atom: 229.6
Space-group type: No. 122
M_tot, μB per cell: 0.00
Uncorrected energy, Ry/atom: -0.4370
Crystal system: tetragonal

=====

Material: MoPdSe2
Method: DFT, PBE-GGA
State: optimized geometry

Structure (POSCAR):
```
MoPdSe2
1.0
-3.8879 -1.8319 3.9828
3.6447 -4.3089 1.5761
2.1209 0.1729 6.4603
Mo Se Pd
2 4 2
direct
0.2500 0.7500 0.5000
0.5000 0.5000 0.0000
0.8750 0.8617 0.7500
0.3750 0.3883 0.7500
0.6117 0.1250 0.2500
0.1383 0.6250 0.2500
0.7500 0.2500 0.5000
0.0000 0.0000 0.0000
```

Computed properties:
D(E_F), states/eV per cell: 0.32
Formation energy from raw total energies, meV per atom: -11.0
Space-group type: No. 122
M_tot, μB per cell: 0.00
Uncorrected energy, Ry/atom: -0.4233
Crystal system: tetragonal

=====

Material: Mo3PdSe
Method: DFT, PBE-GGA
State: optimized geometry

Structure (POSCAR):
```
Mo3PdSe
1.0
4.7621 0.0000 0.0000
0.0000 4.7621 0.0000
0.0000 0.0000 4.7621
Pd Mo Se
1 3 1
direct
0.0000 0.0000 0.0000
0.0000 0.5000 0.0000
0.5000 0.0000 0.0000
0.0000 0.0000 0.5000
0.5000 0.5000 0.5000
```

Computed properties:
D(E_F), states/eV per cell: 4.72
Formation energy from raw total energies, meV per atom: 1948.9
Space-group type: No. 221
M_tot, μB per cell: 0.00
Uncorrected energy, Ry/atom: -0.4620
Crystal system: cubic

=====

Material: MoPdSe2
Method: DFT, PBE-GGA
State: optimized geometry

Structure (POSCAR):
```
MoPdSe2
1.0
-2.9872 0.5103 -1.2102
1.3848 -6.0773 -1.5814
-3.0841 -1.0603 7.1656
Mo Se Pd
2 4 2
direct
0.0841 0.1682 0.9618
0.9159 0.8318 0.0382
0.7042 0.4085 0.1721
0.2958 0.5915 0.8279
0.4531 0.9062 0.2952
0.5469 0.0938 0.7048
0.3479 0.6958 0.5442
0.6521 0.3042 0.4558
```

Computed properties:
D(E_F), states/eV per cell: 4.78
Formation energy from raw total energies, meV per atom: -178.7
Space-group type: No. 12
M_tot, μB per cell: 0.00
Uncorrected energy, Ry/atom: -0.4356
Crystal system: monoclinic

=====

Material: MoPdSe2
Method: DFT, PBE-GGA
State: optimized geometry

Structure (POSCAR):
```
MoPdSe2
1.0
1.8726 0.0000 8.3527
-0.9363 1.6218 8.3527
-0.9363 -1.6218 8.3527
Mo Se Pd
1 2 1
direct
0.5000 0.5000 0.5000
0.9028 0.9028 0.9028
0.0972 0.0972 0.0972
0.0000 0.0000 0.0000
```

Computed properties:
D(E_F), states/eV per cell: 3.14
Formation energy from raw total energies, meV per atom: -227.8
Space-group type: No. 166
M_tot, μB per cell: 0.00
Uncorrected energy, Ry/atom: -0.4392
Crystal system: trigonal

=====

Material: TeMoPd2Se
Method: DFT, PBE-GGA
State: optimized geometry

Structure (POSCAR):
```
TeMoPd2Se
1.0
-2.6555 3.7688 0.3743
-4.0473 -3.1019 2.5183
1.8730 0.9095 4.1304
Mo Pd Se Te
1 2 1 1
direct
0.5000 0.5000 0.5000
0.5000 0.0000 0.0000
0.0000 0.0000 0.5000
0.0000 0.0000 0.0000
0.0000 0.5000 0.0000
```

Computed properties:
D(E_F), states/eV per cell: 2.31
Formation energy from raw total energies, meV per atom: 816.5
Space-group type: No. 123
M_tot, μB per cell: 3.91
Uncorrected energy, Ry/atom: -0.3493
Crystal system: tetragonal